Below is a relaxed structure of Ag3Ir, with properties calculated at the GGA-PBE level. Values from VASP.

Calculated values
Energy (eV for the cell shown): -16.46
Total moment (μB per cell): 0.5
Space-group type: No. 187
D(E_F) (states/eV/atom): 0.850
ΔH_f (0 K) (kcal/mol of atoms): 5.48

```
&SYSTEM
  ibrav = 0, nat = 4, ntyp = 2
/
ATOMIC_SPECIES
Ir 192.22 Ir.upf
Ag 107.87 Ag.upf
ATOMIC_POSITIONS crystal
Ir 0.3333 0.6667 0.7500
Ag 0.0000 0.0000 0.9946
Ag 0.0000 0.0000 0.5054
Ag 0.3333 0.6667 0.2500
CELL_PARAMETERS angstrom
-2.3265 -1.5980 -0.0857
2.0870 -0.4444 -1.8494
4.1052 -6.3066 6.1481
```